Material: Tm3In3Sn
Method: DFT, PBE-GGA
State: optimized geometry

Cell and atoms, written as POSCAR:
```
Tm3In3Sn
1.0
-2.734 -3.620 -2.683
5.727 0.655 -6.720
1.422 -5.870 6.473
Tm In Sn
6 6 2
direct
0.750 0.643 0.545
0.750 0.455 0.098
0.750 0.902 0.357
0.250 0.357 0.455
0.250 0.545 0.902
0.250 0.098 0.643
0.250 0.812 0.768
0.250 0.232 0.044
0.250 0.956 0.188
0.750 0.188 0.232
0.750 0.768 0.956
0.750 0.044 0.812
0.250 0.667 0.333
0.750 0.333 0.667
```

Calculated values
The crystal system is hexagonal. As for the calculated formation energy: -0.380 eV/atom. For the density of states at the Fermi level, the calculation gives 13.3 states/eV per cell.